# 1
Density functional theory data (GGA-PBE) for a geometry-optimized LaIrRu3 structure.

Geometry as POSCAR:
```
LaIrRu3
1.0
4.671 0.000 0.000
0.000 4.671 0.000
0.000 0.000 4.671
La Ir Ru
1 1 3
Direct
0.000 0.000 0.000
0.500 0.500 0.500
0.000 0.000 0.500
0.000 0.500 0.000
0.500 0.000 0.000
```

***

# 2
Density functional theory data (GGA-PBE) for a geometry-optimized Cu3Ni4Ir structure.

Geometry as POSCAR:
```
Cu3Ni4Ir
1.0
4.414 0.000 0.000
0.000 5.128 0.000
-1.517 0.000 8.345
Cu Ni Ir
6 8 2
Direct
0.000 0.130 0.250
0.000 0.870 0.750
0.247 0.126 0.001
0.247 0.874 0.501
0.753 0.126 0.499
0.753 0.874 0.999
0.000 0.381 0.750
0.000 0.619 0.250
0.250 0.383 0.503
0.250 0.617 0.003
0.500 0.366 0.250
0.500 0.634 0.750
0.750 0.383 0.997
0.750 0.617 0.497
0.500 0.140 0.750
0.500 0.860 0.250
```

***

# 3
Density functional theory data (GGA-PBE) for a geometry-optimized Pr3Sm2In2 structure.

Geometry as POSCAR:
```
Pr3Sm2In2
1.0
2.446 -12.462 0.000
2.446 12.462 0.000
0.000 0.000 3.584
Pr Sm In
3 2 2
Direct
0.000 0.000 0.000
0.138 0.862 0.000
0.862 0.138 0.000
0.289 0.711 0.500
0.711 0.289 0.500
0.430 0.570 0.500
0.570 0.430 0.500
```

***

# 4
Density functional theory data (GGA-PBE) for a geometry-optimized LuPaCd structure.

Geometry as POSCAR:
```
LuPaCd
1.0
-1.595 1.595 7.400
1.595 -1.595 7.400
1.595 1.595 -7.400
Lu Pa Cd
1 1 1
Direct
0.000 0.000 0.000
0.671 0.671 0.000
0.341 0.341 0.000
```

***

So what do the calculations give for E_form? Going down the list: 11.21 0.46 -1.21 0.13 eV per formula unit.
So what do the calculations give for density of states at the Fermi level? Going down the list: 11.444 21.226 7.471 5.326 states/eV/cell.
So what do the calculations give for spin magnetization? Going down the list: 0.0000 0.3451 0.0000 0.0037 μB/atom.